1 | The following is a DFT calculation (PBE-GGA) of a relaxed structure of PmScBi2. Values from VASP.

Output
Total magnetic moment   0.0 Bohr magnetons per cell
V   30.8 Å³/atom

```
&SYSTEM
  ibrav = 0, nat = 8, ntyp = 3
/
ATOMIC_SPECIES
Sc 44.96 Sc.upf
Bi 208.98 Bi.upf
Pm 145.00 Pm.upf
ATOMIC_POSITIONS angstrom
Sc 2.195 5.330 1.470
Sc 0.719 2.014 4.037
Bi 4.906 5.083 2.814
Bi 0.679 5.029 4.226
Bi -1.991 2.262 2.694
Bi 2.235 2.316 1.282
Pm -0.634 2.399 -0.152
Pm 3.549 4.946 5.660
CELL_PARAMETERS angstrom
-2.737 3.276 -1.147
-2.825 -0.389 5.629
5.696 5.901 3.267
```

***

2 | The following is a DFT calculation (PBE-GGA) of a relaxed structure of PmScBi2. Values from VASP.

Output
Total magnetic moment   0.0 Bohr magnetons per cell
V   30.6 Å³/atom

```
&SYSTEM
  ibrav = 0, nat = 4, ntyp = 3
/
ATOMIC_SPECIES
Sc 44.96 Sc.upf
Pm 145.00 Pm.upf
Bi 208.98 Bi.upf
ATOMIC_POSITIONS angstrom
Sc 0.000 0.000 0.000
Pm 1.802 -1.872 5.693
Bi 2.691 -2.724 8.669
Bi 0.912 -1.021 2.717
CELL_PARAMETERS angstrom
-0.476 -3.707 2.381
3.568 -2.049 1.647
0.511 2.012 7.359
```

***

Unit: meV per atom. Relative energies: 1 11; 2 0.

***

1 | The following is a DFT calculation (PBE-GGA) of a relaxed structure of PmScBi2. Values from VASP.

Output
Total magnetic moment   0.3 Bohr magnetons per cell
V   28.2 Å³/atom

```
&SYSTEM
  ibrav = 0, nat = 4, ntyp = 3
/
ATOMIC_SPECIES
Bi 208.98 Bi.upf
Sc 44.96 Sc.upf
Pm 145.00 Pm.upf
ATOMIC_POSITIONS angstrom
Bi -1.028 1.575 0.113
Bi -3.446 5.277 0.379
Sc -1.814 -1.285 1.395
Pm -4.051 2.141 1.641
CELL_PARAMETERS angstrom
-3.057 -1.937 -0.822
-0.571 -0.632 3.612
-4.474 6.852 0.492
```

***

2 | The following is a DFT calculation (PBE-GGA) of a relaxed structure of PmScBi2. Values from VASP.

Output
Total magnetic moment   0.0 Bohr magnetons per cell
V   31.5 Å³/atom

```
&SYSTEM
  ibrav = 0, nat = 4, ntyp = 3
/
ATOMIC_SPECIES
Bi 208.98 Bi.upf
Sc 44.96 Sc.upf
Pm 145.00 Pm.upf
ATOMIC_POSITIONS angstrom
Bi 2.985 4.730 2.432
Bi 0.527 2.159 2.336
Sc 0.941 4.199 4.667
Pm 2.638 7.582 7.048
CELL_PARAMETERS angstrom
-2.679 2.469 2.462
0.143 -0.300 4.385
4.358 6.167 2.485
```

***

3 | The following is a DFT calculation (PBE-GGA) of a relaxed structure of PmScBi2. Values from VASP.

Output
Total magnetic moment   0.0 Bohr magnetons per cell
V   28.6 Å³/atom

```
&SYSTEM
  ibrav = 0, nat = 4, ntyp = 3
/
ATOMIC_SPECIES
Bi 208.98 Bi.upf
Pm 145.00 Pm.upf
Sc 44.96 Sc.upf
ATOMIC_POSITIONS angstrom
Bi -8.975 -0.163 4.435
Bi -2.992 -0.054 1.478
Pm 0.000 0.000 0.000
Sc -5.983 -0.108 2.957
CELL_PARAMETERS angstrom
-4.964 2.249 0.084
-4.366 -3.072 1.099
-2.638 0.606 4.731
```

***

4 | The following is a DFT calculation (PBE-GGA) of a relaxed structure of PmScBi2. Values from VASP.

Output
Total magnetic moment   0.0 Bohr magnetons per cell
V   31.5 Å³/atom

```
&SYSTEM
  ibrav = 0, nat = 4, ntyp = 3
/
ATOMIC_SPECIES
Sc 44.96 Sc.upf
Bi 208.98 Bi.upf
Pm 145.00 Pm.upf
ATOMIC_POSITIONS angstrom
Sc -0.791 -1.084 -1.749
Bi 3.611 -5.536 -0.984
Bi 1.154 -1.707 0.536
Pm 2.532 -2.728 -2.234
CELL_PARAMETERS angstrom
-0.298 -1.786 4.020
-1.583 -2.167 -3.498
6.646 -3.290 -0.970
```

***

Unit: meV per atom. Relative energies: 1 209; 2 67; 3 217; 4 0.

***

1 | The following is a DFT calculation (PBE-GGA) of a relaxed structure of PmScBi. Values from VASP.

Output
Total magnetic moment   0.5 Bohr magnetons per cell
V   28.5 Å³/atom

```
&SYSTEM
  ibrav = 0, nat = 6, ntyp = 3
/
ATOMIC_SPECIES
Pm 145.00 Pm.upf
Bi 208.98 Bi.upf
Sc 44.96 Sc.upf
ATOMIC_POSITIONS angstrom
Pm 0.000 2.243 7.207
Pm 2.243 0.000 1.298
Bi 2.243 0.000 6.471
Bi 0.000 2.243 2.035
Sc 2.243 2.243 4.253
Sc 0.000 0.000 4.253
CELL_PARAMETERS angstrom
4.486 0.000 0.000
0.000 4.486 0.000
0.000 0.000 8.505
```

***

2 | The following is a DFT calculation (PBE-GGA) of a relaxed structure of PmScBi. Values from VASP.

Output
Total magnetic moment   1.1 Bohr magnetons per cell
V   29.8 Å³/atom

```
&SYSTEM
  ibrav = 0, nat = 6, ntyp = 3
/
ATOMIC_SPECIES
Bi 208.98 Bi.upf
Sc 44.96 Sc.upf
Pm 145.00 Pm.upf
ATOMIC_POSITIONS angstrom
Bi -2.554 -1.796 0.570
Bi -4.941 -0.543 4.596
Sc -1.937 0.769 -1.006
Sc -3.478 3.098 -0.574
Pm -4.328 -3.378 2.776
Pm -3.167 1.040 2.389
CELL_PARAMETERS angstrom
-3.217 4.862 0.901
-2.198 -0.995 -2.481
-2.081 -6.205 6.746
```

***

3 | The following is a DFT calculation (PBE-GGA) of a relaxed structure of PmScBi. Values from VASP.

Output
Total magnetic moment   0.0 Bohr magnetons per cell
V   28.5 Å³/atom

```
&SYSTEM
  ibrav = 0, nat = 6, ntyp = 3
/
ATOMIC_SPECIES
Bi 208.98 Bi.upf
Sc 44.96 Sc.upf
Pm 145.00 Pm.upf
ATOMIC_POSITIONS angstrom
Bi 0.000 2.254 2.540
Bi 2.254 0.000 5.889
Sc 0.000 2.254 5.533
Sc 2.254 0.000 2.895
Pm 2.254 2.254 0.000
Pm 0.000 0.000 0.000
CELL_PARAMETERS angstrom
4.507 0.000 0.000
0.000 4.507 0.000
0.000 0.000 8.429
```

***

Unit: meV per atom. Relative energies: 1 0; 2 346; 3 189.

***

1 | The following is a DFT calculation (PBE-GGA) of a relaxed structure of PmScBi. Values from VASP.

Output
Total magnetic moment   1.1 Bohr magnetons per cell
V   28.5 Å³/atom

```
&SYSTEM
  ibrav = 0, nat = 3, ntyp = 3
/
ATOMIC_SPECIES
Sc 44.96 Sc.upf
Pm 145.00 Pm.upf
Bi 208.98 Bi.upf
ATOMIC_POSITIONS angstrom
Sc 1.983 1.983 4.675
Pm 1.983 1.983 1.304
Bi 0.000 0.000 3.260
CELL_PARAMETERS angstrom
3.966 0.000 0.000
0.000 3.966 0.000
-1.983 -1.983 5.434
```

***

2 | The following is a DFT calculation (PBE-GGA) of a relaxed structure of PmScBi. Values from VASP.

Output
Total magnetic moment   0.3 Bohr magnetons per cell
V   29.4 Å³/atom

```
&SYSTEM
  ibrav = 0, nat = 3, ntyp = 3
/
ATOMIC_SPECIES
Pm 145.00 Pm.upf
Bi 208.98 Bi.upf
Sc 44.96 Sc.upf
ATOMIC_POSITIONS angstrom
Pm 2.701 0.000 2.917
Bi 0.533 0.000 0.000
Sc 0.756 2.526 1.458
CELL_PARAMETERS angstrom
3.989 0.000 0.000
0.000 5.052 0.000
0.000 -2.526 4.375
```

***

Unit: meV per atom. Relative energies: 1 0; 2 99.

***

1 | The following is a DFT calculation (PBE-GGA) of a relaxed structure of Pm3ScBi2. Values from VASP.

Output
Total magnetic moment   1.1 Bohr magnetons per cell
V   34.5 Å³/atom

```
&SYSTEM
  ibrav = 0, nat = 12, ntyp = 3
/
ATOMIC_SPECIES
Pm 145.00 Pm.upf
Bi 208.98 Bi.upf
Sc 44.96 Sc.upf
ATOMIC_POSITIONS angstrom
Pm -1.105 -1.032 -3.793
Pm 1.751 -1.762 -6.643
Pm 1.461 -3.066 -0.700
Pm 4.318 -3.796 -3.550
Pm -1.054 -5.236 -2.665
Pm -3.910 -4.505 0.185
Bi 1.198 -3.205 -3.878
Bi 3.766 -5.379 -0.747
Bi -3.359 -2.922 -2.618
Bi -0.791 -5.097 0.513
Sc 2.857 -0.730 -2.850
Sc 0.000 0.000 0.000
CELL_PARAMETERS angstrom
-5.067 -1.334 -4.737
5.713 -1.460 -5.700
-0.239 -5.507 7.072
```

***

2 | The following is a DFT calculation (PBE-GGA) of a relaxed structure of Pm3ScBi2. Values from VASP.

Output
Total magnetic moment   0.0 Bohr magnetons per cell
V   30.6 Å³/atom

```
&SYSTEM
  ibrav = 0, nat = 6, ntyp = 3
/
ATOMIC_SPECIES
Pm 145.00 Pm.upf
Sc 44.96 Sc.upf
Bi 208.98 Bi.upf
ATOMIC_POSITIONS angstrom
Pm 0.000 0.000 0.000
Pm 0.000 2.287 5.709
Pm 2.287 0.000 3.060
Sc 2.287 2.287 0.000
Bi 2.287 0.000 6.364
Bi 0.000 2.287 2.404
CELL_PARAMETERS angstrom
4.574 0.000 0.000
0.000 4.574 0.000
0.000 0.000 8.768
```

***

Unit: meV per atom. Relative energies: 1 273; 2 0.

***

1 | The following is a DFT calculation (PBE-GGA) of a relaxed structure of Pm2ScBi. Values from VASP.

Output
Total magnetic moment   0.0 Bohr magnetons per cell
V   32.1 Å³/atom

```
&SYSTEM
  ibrav = 0, nat = 4, ntyp = 3
/
ATOMIC_SPECIES
Bi 208.98 Bi.upf
Sc 44.96 Sc.upf
Pm 145.00 Pm.upf
ATOMIC_POSITIONS angstrom
Bi 0.000 0.000 0.000
Sc 3.515 2.029 5.995
Pm 5.273 3.044 3.245
Pm 1.758 1.015 8.746
CELL_PARAMETERS angstrom
3.515 0.000 0.000
1.758 3.044 0.000
1.758 1.015 11.990
```

***

2 | The following is a DFT calculation (PBE-GGA) of a relaxed structure of Pm2ScBi. Values from VASP.

Output
Total magnetic moment   0.0 Bohr magnetons per cell
V   29.8 Å³/atom

```
&SYSTEM
  ibrav = 0, nat = 4, ntyp = 3
/
ATOMIC_SPECIES
Pm 145.00 Pm.upf
Sc 44.96 Sc.upf
Bi 208.98 Bi.upf
ATOMIC_POSITIONS angstrom
Pm 2.868 -0.896 4.041
Pm 0.928 -0.290 1.308
Sc 3.122 -2.941 1.286
Bi 1.224 -2.347 -1.389
CELL_PARAMETERS angstrom
-0.907 -4.120 -0.270
3.354 -0.574 -2.508
3.796 -1.187 5.349
```

***

3 | The following is a DFT calculation (PBE-GGA) of a relaxed structure of Pm2ScBi. Values from VASP.

Output
Total magnetic moment   0.0 Bohr magnetons per cell
V   28.5 Å³/atom

```
&SYSTEM
  ibrav = 0, nat = 4, ntyp = 3
/
ATOMIC_SPECIES
Bi 208.98 Bi.upf
Pm 145.00 Pm.upf
Sc 44.96 Sc.upf
ATOMIC_POSITIONS angstrom
Bi 0.531 -4.162 0.102
Pm 1.037 -1.225 1.804
Pm 1.278 -1.277 -1.602
Sc -1.785 -1.661 -0.101
CELL_PARAMETERS angstrom
-3.569 -3.321 -0.202
2.557 -2.554 -3.204
2.075 -2.449 3.608
```

***

Unit: meV per atom. Relative energies: 1 415; 2 0; 3 26.

***

1 | The following is a DFT calculation (PBE-GGA) of a relaxed structure of Pm2BiSe. Values from VASP.

Output
Total magnetic moment   0.0 Bohr magnetons per cell
V   30.3 Å³/atom

```
&SYSTEM
  ibrav = 0, nat = 4, ntyp = 3
/
ATOMIC_SPECIES
Bi 208.98 Bi.upf
Pm 145.00 Pm.upf
Se 78.96 Se.upf
ATOMIC_POSITIONS angstrom
Bi 4.321 2.495 3.764
Pm 2.161 1.247 5.821
Pm 2.161 1.247 1.704
Se 6.482 3.742 7.443
CELL_PARAMETERS angstrom
4.321 0.000 0.000
2.161 3.742 0.000
2.161 1.247 7.493
```

***

2 | The following is a DFT calculation (PBE-GGA) of a relaxed structure of Pm2BiSe. Values from VASP.

Output
Total magnetic moment   0.0 Bohr magnetons per cell
V   30.0 Å³/atom

```
&SYSTEM
  ibrav = 0, nat = 4, ntyp = 3
/
ATOMIC_SPECIES
Se 78.96 Se.upf
Pm 145.00 Pm.upf
Bi 208.98 Bi.upf
ATOMIC_POSITIONS angstrom
Se 0.009 2.530 7.182
Pm 0.001 2.534 1.654
Pm 0.008 -0.004 5.528
Bi -2.190 1.265 3.592
CELL_PARAMETERS angstrom
4.389 0.000 -0.002
-2.194 3.802 0.002
-2.187 -1.272 7.182
```

***

3 | The following is a DFT calculation (PBE-GGA) of a relaxed structure of Pm2BiSe. Values from VASP.

Output
Total magnetic moment   0.0 Bohr magnetons per cell
V   35.0 Å³/atom

```
&SYSTEM
  ibrav = 0, nat = 4, ntyp = 3
/
ATOMIC_SPECIES
Bi 208.98 Bi.upf
Pm 145.00 Pm.upf
Se 78.96 Se.upf
ATOMIC_POSITIONS angstrom
Bi 6.563 -3.951 2.084
Pm 5.346 -3.625 -0.918
Pm 0.418 -3.062 -0.497
Se 2.750 -4.466 0.244
CELL_PARAMETERS angstrom
-2.440 -3.745 0.582
1.821 0.902 -4.024
6.568 -3.955 2.086
```

***

4 | The following is a DFT calculation (PBE-GGA) of a relaxed structure of Pm2BiSe. Values from VASP.

Output
Total magnetic moment   0.4 Bohr magnetons per cell
V   27.9 Å³/atom

```
&SYSTEM
  ibrav = 0, nat = 4, ntyp = 3
/
ATOMIC_SPECIES
Pm 145.00 Pm.upf
Se 78.96 Se.upf
Bi 208.98 Bi.upf
ATOMIC_POSITIONS angstrom
Pm 8.110 4.682 3.311
Pm 2.703 1.561 1.104
Se 5.406 3.121 2.207
Bi 0.000 0.000 0.000
CELL_PARAMETERS angstrom
5.406 0.000 0.000
2.703 4.682 0.000
2.703 1.561 4.414
```

***

Unit: meV per atom. Relative energies: 1 61; 2 0; 3 232; 4 286.

***

1 | The following is a DFT calculation (PBE-GGA) of a relaxed structure of Pm3BiSe2. Values from VASP.

Output
Total magnetic moment   0.0 Bohr magnetons per cell
V   29.9 Å³/atom

```
&SYSTEM
  ibrav = 0, nat = 12, ntyp = 3
/
ATOMIC_SPECIES
Se 78.96 Se.upf
Bi 208.98 Bi.upf
Pm 145.00 Pm.upf
ATOMIC_POSITIONS angstrom
Se 0.000 0.000 0.000
Se -3.279 3.766 -2.141
Se -10.407 2.429 -0.470
Se -2.086 0.485 -2.846
Bi -4.449 0.235 0.333
Bi -8.044 2.680 -3.648
Pm -10.278 4.756 -2.029
Pm -7.683 1.776 -0.335
Pm -4.810 1.139 -2.980
Pm -5.960 5.038 -2.692
Pm -6.533 -2.124 -0.623
Pm -2.215 -1.842 -1.286
CELL_PARAMETERS angstrom
-0.417 -2.516 -3.788
-5.518 -2.101 4.755
-6.559 7.532 -4.282
```

***

2 | The following is a DFT calculation (PBE-GGA) of a relaxed structure of Pm3BiSe2. Values from VASP.

Output
Total magnetic moment   0.0 Bohr magnetons per cell
V   29.8 Å³/atom

```
&SYSTEM
  ibrav = 0, nat = 12, ntyp = 3
/
ATOMIC_SPECIES
Pm 145.00 Pm.upf
Se 78.96 Se.upf
Bi 208.98 Bi.upf
ATOMIC_POSITIONS angstrom
Pm 5.327 0.807 4.157
Pm 1.776 3.816 1.835
Pm 5.327 3.255 7.330
Pm 1.776 0.674 6.791
Pm 5.327 6.398 2.375
Pm 1.776 6.264 5.009
Se 3.552 5.722 7.416
Se 0.000 1.350 1.749
Se 3.552 1.350 1.749
Se 0.000 5.722 7.416
Bi 5.327 4.061 4.178
Bi 1.776 3.011 4.988
CELL_PARAMETERS angstrom
7.103 0.000 0.000
0.000 6.973 1.931
0.000 0.098 7.235
```

***

Unit: meV per atom. Relative energies: 1 0; 2 5.

***

1 | The following is a DFT calculation (PBE-GGA) of a relaxed structure of Pm5Bi4Se. Values from VASP.

Output
Total magnetic moment   0.0 Bohr magnetons per cell
V   32.5 Å³/atom

```
&SYSTEM
  ibrav = 0, nat = 10, ntyp = 3
/
ATOMIC_SPECIES
Bi 208.98 Bi.upf
Pm 145.00 Pm.upf
Se 78.96 Se.upf
ATOMIC_POSITIONS angstrom
Bi 1.762 1.797 12.502
Bi 0.869 0.886 6.166
Bi 3.522 3.593 8.801
Bi 2.629 2.682 2.465
Pm 0.417 0.425 2.956
Pm 3.974 4.054 12.011
Pm 2.193 2.237 -0.631
Pm 3.075 3.137 5.631
Pm 1.316 1.342 9.336
Se 0.000 0.000 0.000
CELL_PARAMETERS angstrom
4.474 0.000 -0.631
-0.089 4.473 -0.631
0.005 0.005 16.228
```

***

2 | The following is a DFT calculation (PBE-GGA) of a relaxed structure of Pm5Bi4Se. Values from VASP.

Output
Total magnetic moment   0.0 Bohr magnetons per cell
V   32.4 Å³/atom

```
&SYSTEM
  ibrav = 0, nat = 10, ntyp = 3
/
ATOMIC_SPECIES
Pm 145.00 Pm.upf
Bi 208.98 Bi.upf
Se 78.96 Se.upf
ATOMIC_POSITIONS angstrom
Pm -6.314 4.565 -8.507
Pm -3.385 2.220 -5.842
Pm -7.985 2.115 -4.988
Pm -5.056 -0.230 -2.323
Pm -0.586 0.059 -3.153
Bi -2.920 2.175 -2.676
Bi -8.450 2.160 -8.154
Bi -5.743 4.385 -5.363
Bi -5.628 -0.050 -5.467
Se -0.001 0.000 -0.007
CELL_PARAMETERS angstrom
-1.170 0.117 -6.287
-7.131 -2.489 -1.973
-3.068 6.707 -2.558
```

***

Unit: meV per atom. Relative energies: 1 12; 2 0.

***

1 | The following is a DFT calculation (PBE-GGA) of a relaxed structure of Pm3BiSe6. Values from VASP.

Output
Total magnetic moment   0.0 Bohr magnetons per cell
V   29.4 Å³/atom

```
&SYSTEM
  ibrav = 0, nat = 20, ntyp = 3
/
ATOMIC_SPECIES
Bi 208.98 Bi.upf
Se 78.96 Se.upf
Pm 145.00 Pm.upf
ATOMIC_POSITIONS angstrom
Bi 0.000 -0.058 7.305
Bi 3.626 7.133 1.574
Se 1.302 5.072 5.612
Se 5.118 7.354 3.885
Se 5.400 9.054 0.043
Se 1.492 -0.278 4.993
Se 5.118 4.929 0.843
Se 4.501 0.539 6.829
Se 4.928 4.339 6.197
Se 1.492 2.146 8.035
Se 1.774 -1.979 8.835
Se 0.875 6.537 2.049
Se 4.928 2.003 3.266
Se 1.302 2.737 2.681
Pm 2.767 2.483 5.280
Pm 3.511 2.421 0.750
Pm 6.393 4.593 3.598
Pm 3.511 6.884 6.351
Pm 7.137 0.191 2.528
Pm 7.137 4.654 8.128
CELL_PARAMETERS angstrom
7.252 0.000 0.000
0.000 9.128 -0.016
0.000 -2.053 8.894
```

***

2 | The following is a DFT calculation (PBE-GGA) of a relaxed structure of Pm3BiSe6. Values from VASP.

Output
Total magnetic moment   0.0 Bohr magnetons per cell
V   29.3 Å³/atom

```
&SYSTEM
  ibrav = 0, nat = 20, ntyp = 3
/
ATOMIC_SPECIES
Se 78.96 Se.upf
Bi 208.98 Bi.upf
Pm 145.00 Pm.upf
ATOMIC_POSITIONS angstrom
Se -0.968 -2.956 -1.325
Se 0.995 -7.924 -2.268
Se -0.667 -6.237 0.487
Se -9.093 -1.256 -6.373
Se -5.092 -1.534 -1.722
Se -6.669 -3.479 -4.926
Se -5.007 -5.166 -7.681
Se 3.419 -10.147 -0.820
Se -2.827 -3.979 -4.254
Se -4.705 -8.447 -5.869
Se -0.582 -9.869 -5.472
Se -2.846 -7.425 -2.940
Bi -6.912 -2.758 -8.377
Bi 1.238 -8.645 1.183
Pm -0.707 -5.523 -2.722
Pm -3.134 -1.910 0.393
Pm -1.212 -9.831 -2.570
Pm -4.967 -5.880 -4.472
Pm -2.540 -9.493 -7.587
Pm -4.462 -1.573 -4.624
CELL_PARAMETERS angstrom
-3.025 -1.671 2.503
-7.972 1.134 -8.879
5.324 -10.867 -0.818
```

***

Unit: meV per atom. Relative energies: 1 0; 2 6.